# 1
# Cs2HgPt | the Alexandria database | PBE-GGA | relaxed
data_Cs2HgPt
_chemical_formula_sum 'Cs4 Hg2 Pt2'
_cell_length_a 10.430
_cell_length_b 6.032
_cell_length_c 5.387
_cell_angle_alpha 90.00
_cell_angle_beta 90.40
_cell_angle_gamma 90.00
_symmetry_space_group_name_H-M 'C 1 2/m 1'
_symmetry_Int_Tables_number 12
_symmetry_space_group_name_Hall '-C 2y'
loop_
_atom_site_label
_atom_site_fract_x
_atom_site_fract_y
_atom_site_fract_z
_atom_site_occupancy
Cs1 0.166 0.000 0.306 1
Hg1 0.000 0.500 0.000 1
Pt1 0.000 0.500 0.500 1
# Offset from the most stable computed form, meV per atom: 0.0
# Energy of formation from the pure elements, eV/f.u.: -0.78

=====

# 2
# Li2Pm2DySn2 | the Alexandria database | PBE-GGA | relaxed
data_Li2Pm2DySn2
_chemical_formula_sum 'Li6 Pm6 Dy3 Sn6'
_cell_length_a 4.7906
_cell_length_b 4.7906
_cell_length_c 27.3091
_cell_angle_alpha 90.00
_cell_angle_beta 90.00
_cell_angle_gamma 120.00
_symmetry_space_group_name_H-M 'R -3 m'
_symmetry_Int_Tables_number 166
_symmetry_space_group_name_Hall '-R 3 2"'
loop_
_atom_site_label
_atom_site_fract_x
_atom_site_fract_y
_atom_site_fract_z
_atom_site_occupancy
Li1 0.0000 0.0000 0.1042 1
Pm1 0.0000 0.0000 0.3720 1
Dy1 0.0000 0.0000 0.5000 1
Sn1 0.0000 0.0000 0.2335 1
# Energy of formation from the pure elements, eV/f.u.: -3.23

=====

# 3
# Pu4CdRh4 | the Alexandria database | PBE-GGA | relaxed
data_Pu4CdRh4
_chemical_formula_sum 'Pu8 Cd2 Rh8'
_cell_length_a 8.664
_cell_length_b 8.664
_cell_length_c 5.499
_cell_angle_alpha 90.00
_cell_angle_beta 90.00
_cell_angle_gamma 90.00
_symmetry_space_group_name_H-M 'P 42/n'
_symmetry_Int_Tables_number 86
loop_
_symmetry_equiv_pos_as_xyz
'x,y,z'
'-x,-y,-z'
'-y,x+1/2,z+1/2'
'y,-x+1/2,-z+1/2'
'-x+1/2,-y+1/2,z'
'x+1/2,y+1/2,-z'
'y+1/2,-x,z+1/2'
'-y+1/2,x,-z+1/2'
loop_
_atom_site_label
_atom_site_fract_x
_atom_site_fract_y
_atom_site_fract_z
_atom_site_occupancy
Pu1 0.051 0.663 0.175 1
Cd1 0.250 0.250 0.250 1
Rh1 0.036 0.628 0.668 1
# Energy of formation from the pure elements, eV/f.u.: -2.32

=====

# 4
# YAlW | the Alexandria database | PBE-GGA | relaxed
data_YAlW
_chemical_formula_sum 'Y4 Al4 W4'
_cell_length_a 6.754
_cell_length_b 6.754
_cell_length_c 6.754
_cell_angle_alpha 90.00
_cell_angle_beta 90.00
_cell_angle_gamma 90.00
_symmetry_space_group_name_H-M 'F -4 3 m'
_symmetry_Int_Tables_number 216
_symmetry_space_group_name_Hall 'F -4 2 3'
loop_
_atom_site_label
_atom_site_fract_x
_atom_site_fract_y
_atom_site_fract_z
_atom_site_occupancy
Y1 0.000 0.000 0.000 1
Al1 0.250 0.250 0.250 1
W1 0.250 0.250 0.750 1
# Offset from the most stable computed form, meV per atom: 1264.4
# Energy of formation from the pure elements, eV/f.u.: 4.32